# Na3In2Ag

A crystal of Na3In2Ag relaxed with PBEsol (SCAN, Alexandria via LeMat-Bulk).

Results
total moment = 0.0 μB/f.u.
energy of formation from the pure elements = -0.199 eV/atom

Structure (POSCAR):
```
Na3In2Ag
1.0
9.541 0.000 0.000
4.771 8.263 0.000
4.771 2.754 7.791
Na In Ag
12 8 4
direct
0.952 0.548 0.952 Na
0.298 0.702 0.702 Na
0.702 0.298 0.298 Na
0.702 0.298 0.702 Na
0.298 0.298 0.702 Na
0.702 0.702 0.298 Na
0.952 0.952 0.548 Na
0.952 0.548 0.548 Na
0.548 0.952 0.952 Na
0.548 0.548 0.952 Na
0.298 0.702 0.298 Na
0.548 0.952 0.548 Na
0.002 0.333 0.333 In
0.917 0.917 0.917 In
0.917 0.917 0.248 In
0.917 0.248 0.917 In
0.333 0.333 0.002 In
0.333 0.002 0.333 In
0.333 0.333 0.333 In
0.248 0.917 0.917 In
0.625 0.125 0.125 Ag
0.125 0.125 0.125 Ag
0.125 0.125 0.625 Ag
0.125 0.625 0.125 Ag
```

***

# RhCIO2

A crystal of RhCIO2 relaxed with PBEsol (SCAN, Alexandria via LeMat-Bulk).

Results
raw formation energy = 4.363 eV/f.u.
total moment = 0.9 μB/f.u.

Structure (POSCAR):
```
RhCIO2
1.0
-3.417 -1.135 0.334
0.978 -2.137 2.748
-1.423 5.743 4.971
I C Rh O
1 1 1 2
direct
0.000 0.000 0.500 I
0.500 0.500 0.500 C
0.000 0.000 0.000 Rh
0.000 0.500 0.000 O
0.500 0.000 0.000 O
```

***

# SnAsSe2F

A crystal of SnAsSe2F relaxed with PBEsol (SCAN, Alexandria via LeMat-Bulk).

Results
raw formation energy = 1.830 eV/f.u.
total moment = 0.0 μB/f.u.

Structure (POSCAR):
```
SnAsSe2F
1.0
-1.065 -3.854 -2.257
4.135 -1.944 1.368
-2.104 -1.716 3.922
As Sn Se F
1 1 2 1
direct
0.500 0.500 0.500 As
0.500 0.000 0.000 Sn
0.000 0.000 0.500 Se
0.000 0.500 0.000 Se
0.000 0.000 0.000 F
```

***

# Mg2TaSb

A crystal of Mg2TaSb relaxed with PBEsol (SCAN, Alexandria via LeMat-Bulk).

Results
raw formation energy = 1.506 eV/f.u.
total moment = 0.0 μB/f.u.

Structure (POSCAR):
```
Mg2TaSb
1.0
4.834 0.000 0.000
2.417 4.186 0.000
2.417 1.395 3.947
Mg Sb Ta
2 1 1
direct
0.000 0.000 0.000 Mg
0.750 0.750 0.750 Mg
0.500 0.500 0.500 Sb
0.250 0.250 0.250 Ta
```

***

# Y2Be2P

A crystal of Y2Be2P relaxed with PBEsol (SCAN, Alexandria via LeMat-Bulk).

Results
total moment = 0.0 μB/f.u.
energy of formation from the pure elements = -0.339 eV/atom

Structure (POSCAR):
```
Y2Be2P
1.0
-3.156 0.665 2.658
-1.824 -6.072 -0.646
3.759 -1.647 4.876
Y P Be
4 2 4
direct
0.500 0.174 0.674 Y
0.500 0.674 0.826 Y
0.500 0.826 0.326 Y
0.500 0.326 0.174 Y
0.000 0.000 0.000 P
0.000 0.500 0.500 P
0.000 0.378 0.878 Be
0.000 0.878 0.622 Be
0.000 0.622 0.122 Be
0.000 0.122 0.378 Be
```

***

# LiIn2Pt

A crystal of LiIn2Pt relaxed with PBEsol (SCAN, Alexandria via LeMat-Bulk).

Results
total moment = 0.0 μB/f.u.
energy of formation from the pure elements = -0.615 eV/atom

Structure (POSCAR):
```
LiIn2Pt
1.0
4.603 0.000 0.000
2.301 3.986 0.000
2.301 1.329 3.758
In Pt Li
2 1 1
direct
0.250 0.250 0.250 In
0.750 0.750 0.750 In
0.500 0.500 0.500 Pt
0.000 0.000 0.000 Li
```

***

# Sm2AgSn

A crystal of Sm2AgSn relaxed with PBEsol (SCAN, Alexandria via LeMat-Bulk).

Results
total moment = 1.0 μB/f.u.
energy of formation from the pure elements = -0.615 eV/atom

Structure (POSCAR):
```
Sm2AgSn
1.0
5.239 0.000 0.000
2.620 4.537 0.000
2.620 1.512 4.278
Sm Sn Ag
2 1 1
direct
0.250 0.250 0.250 Sm
0.750 0.750 0.750 Sm
0.000 0.000 0.000 Sn
0.500 0.500 0.500 Ag
```

***

# OsAuBr2

A crystal of OsAuBr2 relaxed with PBEsol (SCAN, Alexandria via LeMat-Bulk).

Results
offset from the most stable computed form = 1 meV/atom
raw formation energy = 3.173 eV/f.u.
total moment = 0.0 μB/f.u.

Structure (POSCAR):
```
OsAuBr2
1.0
3.613 0.009 -0.094
1.787 3.140 -0.094
0.539 0.314 7.971
Os Au Br
1 1 2
direct
0.500 0.500 0.000 Os
0.000 0.000 0.500 Au
0.173 0.173 0.830 Br
0.827 0.827 0.170 Br
```

***

- Among the records above, which one has the highest total moment?
  Sm2AgSn

***

- Look up the total moment of the sixth one.
  0.0 μB/f.u.